[1]
Compound: CuOs2Rh
Source: Alexandria
Functional: GGA-PBE
Structure: relaxed

The structure in POSCAR format:
```
CuOs2Rh
1.0
2.659 -0.006 0.000
-1.286 2.327 0.000
0.000 0.000 9.214
Cu Os Rh
1 2 1
Direct
0.500 0.500 0.750
0.000 0.000 0.995
0.000 0.000 0.505
0.500 0.500 0.250
```

DFT formation energy, eV per atom: 0.4617
Crystal system: orthorhombic
Raw total energy, eV per atom: -8.0151
Excess energy over the best structure of this formula in the dataset, meV per atom: 311.9
Spin magnetization, μB per formula unit: 0.0

***

[2]
Compound: Cu2OsRh
Source: Alexandria
Functional: GGA-PBE
Structure: relaxed

The structure in POSCAR format:
```
Cu2OsRh
1.0
4.601 -0.017 0.000
1.521 4.343 0.000
-3.061 -2.163 2.669
Cu Os Rh
2 1 1
Direct
0.000 0.000 0.000
0.500 0.500 0.000
0.250 0.750 0.500
0.750 0.250 0.500
```

DFT formation energy, eV per atom: 0.4072
Crystal system: tetragonal
Raw total energy, eV per atom: -6.2862
Excess energy over the best structure of this formula in the dataset, meV per atom: 285.5
Spin magnetization, μB per formula unit: 1.6

***

[3]
Compound: Cu2OsRh
Source: Alexandria
Functional: GGA-PBE
Structure: relaxed

The structure in POSCAR format:
```
Cu2OsRh
1.0
-0.565 -4.168 1.054
3.885 -0.950 -1.676
1.189 0.468 2.490
Cu Os Rh
2 1 1
Direct
0.000 0.000 0.000
0.500 0.500 0.000
0.500 0.000 0.500
0.000 0.500 0.500
```

DFT formation energy, eV per atom: 0.4046
Crystal system: tetragonal
Raw total energy, eV per atom: -6.2888
Excess energy over the best structure of this formula in the dataset, meV per atom: 282.9
Spin magnetization, μB per formula unit: 0.8

***

[4]
Compound: CuOsRh3
Source: Alexandria
Functional: GGA-PBE
Structure: relaxed

The structure in POSCAR format:
```
CuOsRh3
1.0
-0.434 1.927 4.255
-4.584 -0.999 -0.015
0.899 -4.159 1.975
Rh Os Cu
3 1 1
Direct
0.000 0.500 0.000
0.000 0.000 0.500
0.500 0.000 0.000
0.000 0.000 0.000
0.500 0.500 0.500
```

DFT formation energy, eV per atom: 1.4416
Crystal system: cubic
Raw total energy, eV per atom: -6.0344
Excess energy over the best structure of this formula in the dataset, meV per atom: 1105.0
Spin magnetization, μB per formula unit: 0.0

***

[5]
Compound: CuOs2Rh
Source: Alexandria
Functional: GGA-PBE
Structure: relaxed

The structure in POSCAR format:
```
CuOs2Rh
1.0
2.739 0.000 0.000
0.000 2.739 0.000
0.000 0.000 7.373
Cu Os Rh
1 2 1
Direct
0.500 0.500 0.750
0.000 0.000 0.999
0.500 0.500 0.247
0.000 0.000 0.504
```

DFT formation energy, eV per atom: 0.1575
Crystal system: tetragonal
Raw total energy, eV per atom: -8.3192
Excess energy over the best structure of this formula in the dataset, meV per atom: 7.8
Spin magnetization, μB per formula unit: 0.0

***

[6]
Compound: CuOs2Rh
Source: Alexandria
Functional: GGA-PBE
Structure: relaxed

The structure in POSCAR format:
```
CuOs2Rh
1.0
4.778 0.003 0.000
1.866 4.398 0.000
-3.322 -2.201 2.636
Cu Os Rh
1 2 1
Direct
0.750 0.250 0.500
0.000 0.000 0.000
0.500 0.500 0.000
0.250 0.750 0.500
```

DFT formation energy, eV per atom: 0.3158
Crystal system: tetragonal
Raw total energy, eV per atom: -8.1610
Excess energy over the best structure of this formula in the dataset, meV per atom: 166.0
Spin magnetization, μB per formula unit: 0.0

***

[7]
Compound: Cu2OsRh
Source: Alexandria
Functional: GGA-PBE
Structure: relaxed

The structure in POSCAR format:
```
Cu2OsRh
1.0
-1.579 1.911 -0.901
-0.908 -1.629 -1.865
-5.539 -2.340 4.742
Cu Os Rh
2 1 1
Direct
0.000 0.000 0.000
0.000 0.000 0.500
0.500 0.500 0.250
0.500 0.500 0.750
```

DFT formation energy, eV per atom: 0.3485
Crystal system: tetragonal
Raw total energy, eV per atom: -6.3449
Excess energy over the best structure of this formula in the dataset, meV per atom: 226.8
Spin magnetization, μB per formula unit: 0.4

***

[8]
Compound: CuOs2Rh
Source: Alexandria
Functional: GGA-PBE
Structure: relaxed

The structure in POSCAR format:
```
CuOs2Rh
1.0
0.000 3.035 3.035
3.035 0.000 3.035
3.035 3.035 0.000
Rh Os Cu
1 2 1
Direct
0.500 0.500 0.500
0.250 0.250 0.250
0.750 0.750 0.750
0.000 0.000 0.000
```

DFT formation energy, eV per atom: 0.6304
Crystal system: cubic
Raw total energy, eV per atom: -7.8464
Excess energy over the best structure of this formula in the dataset, meV per atom: 480.6
Spin magnetization, μB per formula unit: 0.9

***

[9]
Compound: CuOs2Rh
Source: Alexandria
Functional: GGA-PBE
Structure: relaxed

The structure in POSCAR format:
```
CuOs2Rh
1.0
2.682 0.000 0.000
0.000 2.682 0.000
0.000 0.000 7.681
Cu Os Rh
1 2 1
Direct
0.500 0.500 0.750
0.000 0.000 0.997
0.000 0.000 0.503
0.500 0.500 0.250
```

DFT formation energy, eV per atom: 0.3423
Crystal system: tetragonal
Raw total energy, eV per atom: -8.1345
Excess energy over the best structure of this formula in the dataset, meV per atom: 192.5
Spin magnetization, μB per formula unit: 0.0

***

[10]
Compound: Cu2OsRh
Source: Alexandria
Functional: GGA-PBE
Structure: relaxed

The structure in POSCAR format:
```
Cu2OsRh
1.0
4.560 0.002 -0.004
3.789 2.538 -0.004
0.758 0.231 4.603
Cu Os Rh
2 1 1
Direct
0.999 0.999 0.002
0.501 0.501 0.498
0.250 0.250 0.250
0.750 0.750 0.750
```

DFT formation energy, eV per atom: 0.2217
Crystal system: monoclinic
Raw total energy, eV per atom: -6.4716
Excess energy over the best structure of this formula in the dataset, meV per atom: 100.1
Spin magnetization, μB per formula unit: 0.0

***

[11]
Compound: Cu2OsRh
Source: Alexandria
Functional: GGA-PBE
Structure: relaxed

The structure in POSCAR format:
```
Cu2OsRh
1.0
-4.826 -4.150 2.411
3.652 -5.394 -1.974
0.560 -4.811 2.447
Rh Os Cu
2 2 4
Direct
0.500 0.500 0.000
0.250 0.750 0.500
0.000 0.000 0.000
0.750 0.250 0.500
0.630 0.125 0.250
0.120 0.625 0.250
0.375 0.370 0.750
0.875 0.880 0.750
```

DFT formation energy, eV per atom: 0.8563
Crystal system: tetragonal
Raw total energy, eV per atom: -5.8371
Excess energy over the best structure of this formula in the dataset, meV per atom: 734.6
Spin magnetization, μB per formula unit: 0.0

***

[12]
Compound: CuOs2Rh
Source: Alexandria
Functional: GGA-PBE
Structure: relaxed

The structure in POSCAR format:
```
CuOs2Rh
1.0
2.701 0.000 0.000
0.000 3.912 0.000
0.000 0.000 5.239
Cu Os Rh
1 2 1
Direct
0.500 0.500 0.750
0.000 0.000 0.989
0.000 0.000 0.511
0.500 0.500 0.250
```

DFT formation energy, eV per atom: 0.3071
Crystal system: orthorhombic
Raw total energy, eV per atom: -8.1697
Excess energy over the best structure of this formula in the dataset, meV per atom: 157.3
Spin magnetization, μB per formula unit: 0.0

***

[13]
Compound: Cu2OsRh
Source: Alexandria
Functional: GGA-PBE
Structure: relaxed

The structure in POSCAR format:
```
Cu2OsRh
1.0
-2.468 -0.206 -3.861
1.534 -3.454 -2.600
-1.243 0.181 4.412
Cu Os Rh
2 1 1
Direct
0.000 0.000 0.000
0.250 0.750 0.500
0.500 0.500 0.000
0.750 0.250 0.500
```

DFT formation energy, eV per atom: 0.2653
Crystal system: tetragonal
Raw total energy, eV per atom: -6.4281
Excess energy over the best structure of this formula in the dataset, meV per atom: 143.6
Spin magnetization, μB per formula unit: 0.0

***

[14]
Compound: CuOsRh4
Source: Alexandria
Functional: GGA-PBE
Structure: relaxed

The structure in POSCAR format:
```
CuOsRh4
1.0
-1.826 0.639 -1.897
-0.916 -3.707 -0.367
-5.645 0.829 5.712
Cu Os Rh
1 1 4
Direct
0.000 0.500 0.000
0.500 0.000 0.500
0.000 0.500 0.335
0.500 0.000 0.164
0.000 0.500 0.665
0.500 0.000 0.836
```

DFT formation energy, eV per atom: 0.0869
Crystal system: orthorhombic
Raw total energy, eV per atom: -7.3684
Excess energy over the best structure of this formula in the dataset, meV per atom: 0.0
Spin magnetization, μB per formula unit: 0.0

***

[15]
Compound: Cu2OsRh
Source: Alexandria
Functional: GGA-PBE
Structure: relaxed

The structure in POSCAR format:
```
Cu2OsRh
1.0
-2.266 3.542 0.520
-3.050 0.990 -2.770
-4.070 -0.239 1.155
Cu Os Rh
2 1 1
Direct
0.000 0.000 0.000
0.750 0.750 0.750
0.500 0.500 0.500
0.250 0.250 0.250
```

DFT formation energy, eV per atom: 0.3812
Crystal system: cubic
Raw total energy, eV per atom: -6.3122
Excess energy over the best structure of this formula in the dataset, meV per atom: 259.5
Spin magnetization, μB per formula unit: 0.5